VASP calculation (PBE) on a relaxed ZrAlCuAg crystal.

## Properties
Fermi-level density of states (states/eV per atom): 0.569
Calculated formation energy (eV/atom): -0.211
Calculated total energy (eV/cell): -80.33

Cell: 6.4736 6.4736 6.4736 Å, 90.00 90.00 90.00°
Space group F-43m (No. 216)
Unique sites:
Zr1 0.0000 0.0000 0.0000 x4
Al1 0.0000 0.0000 0.5000 x4
Cu1 0.2500 0.2500 0.2500 x4
Ag1 0.2500 0.2500 0.7500 x4

=====

VASP calculation (PBE) on a relaxed Dy3Al2Ag2 crystal.

## Properties
Fermi-level density of states (states/eV per atom): 0.710
Calculated formation energy (eV/atom): -0.307
Calculated total energy (eV/cell): -58.29

Cell: 4.2349 21.9417 3.4856 Å, 90.00 90.00 90.00°
Space group Cmmm (No. 65)
Unique sites:
Dy1 0.0000 0.0000 0.0000 x2
Dy2 0.0000 0.1591 0.0000 x4
Al1 0.0000 0.2824 0.5000 x4
Ag1 0.0000 0.4194 0.5000 x4

=====

VASP calculation (PBE) on a relaxed Dy4AlAg crystal.

## Properties
Fermi-level density of states (states/eV per atom): 1.127
Energy above the lowest structure with this stoichiometry (meV/atom): 185
Calculated formation energy (eV/atom): -0.015
Calculated total energy (eV/cell): -100.36

Cell: 5.1699 21.7180 6.3729 Å, 90.00 90.00 90.00°
Space group Cmc2_1 (No. 36)
Unique sites:
Dy1 0.0000 0.0637 0.0000 x4
Dy2 0.0000 0.1929 0.3006 x4
Dy3 0.0000 0.2147 0.8167 x4
Dy4 0.0000 0.3752 0.0762 x4
Al1 0.0000 0.3402 0.5542 x4
Ag1 0.0000 0.0703 0.5066 x4

=====

VASP calculation (PBE) on a relaxed Dy3Al6Ag5 crystal.

## Properties
Fermi-level density of states (states/eV per atom): 0.531
Calculated formation energy (eV/atom): -0.335
Calculated total energy (eV/cell): -110.41

Cell: 4.4095 9.7252 12.9055 Å, 90.00 90.00 90.00°
Space group Immm (No. 71)
Unique sites:
Dy1 0.0000 0.0000 0.0000 x2
Dy2 0.0000 0.0000 0.2960 x4
Al1 0.0000 0.1874 0.5000 x4
Al2 0.0000 0.2822 0.1360 x8
Ag1 0.0000 0.3574 0.3398 x8
Ag2 0.0000 0.5000 0.0000 x2

=====

VASP calculation (PBE) on a relaxed DyAl5Ag7 crystal.

## Properties
Fermi-level density of states (states/eV per atom): 0.395
Calculated formation energy (eV/atom): -0.194
Calculated total energy (eV/cell): -91.60

Cell: 5.4223 9.3214 9.1995 Å, 90.00 90.00 90.00°
Space group Imm2 (No. 44)
Unique sites:
Dy1 0.0000 0.0000 0.0000 x2
Al1 0.0000 0.5000 0.2763 x2
Al2 0.2486 0.2542 0.7472 x8
Ag1 0.0000 0.0000 0.3455 x2
Ag2 0.0000 0.0000 0.6662 x2
Ag3 0.0000 0.2950 0.4928 x4
Ag4 0.0000 0.3433 0.0044 x4
Ag5 0.0000 0.5000 0.7211 x2

=====

VASP calculation (PBE) on a relaxed DyAl2Ag4 crystal.

## Properties
Fermi-level density of states (states/eV per atom): 0.499
Calculated formation energy (eV/atom): -0.230
Calculated total energy (eV/cell): -50.20

Cell: 6.9678 6.9678 5.4018 Å, 90.00 90.00 90.00°
Space group I4/mmm (No. 139)
Unique sites:
Dy1 0.0000 0.0000 0.0000 x2
Al1 0.0000 0.5000 0.2500 x4
Ag1 0.1985 0.1985 0.5000 x8

=====

VASP calculation (PBE) on a relaxed DyAl2Ag9 crystal.

## Properties
Fermi-level density of states (states/eV per atom): 0.429
Calculated formation energy (eV/atom): -0.079
Calculated total energy (eV/cell): -154.80

Cell: 11.3499 11.3499 7.0740 Å, 90.00 90.00 90.00°
Space group I4_1/amd (No. 141, origin choice 2)
Unique sites:
Dy1 0.0000 0.2500 0.3750 x4
Al1 0.0000 0.0000 0.0000 x8
Ag1 0.0000 0.2500 0.8750 x4
Ag2 0.1215 0.0536 0.6782 x32

=====

VASP calculation (PBE) on a relaxed Dy6Al5Ag crystal.

## Properties
Fermi-level density of states (states/eV per atom): 0.644
Calculated formation energy (eV/atom): -0.376
Calculated total energy (eV/cell): -107.39

Cell: 5.1120 15.3415 7.2267 Å, 90.00 90.00 90.00°
Space group Cmmm (No. 65)
Unique sites:
Dy1 0.0000 0.0000 0.2504 x4
Dy2 0.0000 0.3333 0.2504 x8
Al1 0.0000 0.1651 0.0000 x4
Al2 0.0000 0.1666 0.5000 x4
Al3 0.0000 0.5000 0.5000 x2
Ag1 0.0000 0.5000 0.0000 x2